[1]
Here is ScRe2Se after structural relaxation from Alexandria. Energies are from PBEsol.

a b c (Å): 5.2105 10.2375 3.1774
angles (deg): 90.00 127.58 90.00
Last column: nearest neighbours and their distance in Å.
Space group C2/m (No. 12)
Inequivalent atoms, fractional coordinates:
Sc1 0.0000 0.0000 0.0000 (multiplicity 2)  4 Se 2.61, 4 Re 2.87
Re1 0.2500 0.2500 0.5000 (multiplicity 4)  4 Re 2.61, 2 Se 2.87, 2 Sc 2.87
Se1 0.0000 0.5000 0.0000 (multiplicity 2)  4 Sc 2.61, 4 Re 2.87

- Total DFT energy (no corrections): -9.190 eV/atom
- Total magnetization: 0.000 μB/f.u.
- V: 16.79 Å³/atom
- Energy relative to the elements, uncorrected: 8.64 kJ per mole of atoms


[2]
Here is ScRe2Se after structural relaxation from Alexandria. Energies are from PBEsol.

a b c (Å): 3.0888 4.7071 8.8701
angles (deg): 90.00 90.00 90.00
Last column: nearest neighbours and their distance in Å.
Space group Cmmm (No. 65)
Inequivalent atoms, fractional coordinates:
Sc1 0.0000 0.0000 0.0000 (multiplicity 2)  4 Re 2.73, 4 Sc 2.82
Re1 0.0000 0.5000 0.2534 (multiplicity 4)  2 Se 2.68, 2 Sc 2.73, 4 Re 2.82
Se1 0.0000 0.0000 0.5000 (multiplicity 2)  4 Re 2.68, 4 Se 2.82

- Total DFT energy (no corrections): -8.773 eV/atom
- Total magnetization: 0.000 μB/f.u.
- V: 16.12 Å³/atom
- Energy relative to the elements, uncorrected: 48.94 kJ per mole of atoms


[3]
Here is Sc2ReSe after structural relaxation from Alexandria. Energies are from PBEsol.

a b c (Å): 3.1263 3.1263 7.6538
angles (deg): 90.00 90.00 90.00
Last column: nearest neighbours and their distance in Å.
Space group P4mm (No. 99)
Inequivalent atoms, fractional coordinates:
Sc1 0.0000 0.0000 0.0000 (multiplicity 1)  4 Re 2.90, 4 Sc 3.13, 1 Se 3.16
Sc2 0.5000 0.5000 0.3309 (multiplicity 1)  4 Se 2.96, 4 Sc 3.13, 1 Re 3.25
Re1 0.5000 0.5000 0.7552 (multiplicity 1)  4 Se 2.56
Se1 0.0000 0.0000 0.5873 (multiplicity 1)  4 Re 2.56

- Total DFT energy (no corrections): -7.728 eV/atom
- Total magnetization: 0.445 μB/f.u.
- V: 18.70 Å³/atom
- Energy relative to the elements, uncorrected: -12.53 kJ per mole of atoms


[4]
Here is ScRe3Si after structural relaxation from Alexandria. Energies are from PBEsol.

a b c (Å): 4.5240 4.5240 4.5240
angles (deg): 90.00 90.00 90.00
Last column: nearest neighbours and their distance in Å.
Space group Pm-3m (No. 221)
Inequivalent atoms, fractional coordinates:
Sc1 0.0000 0.0000 0.0000 (multiplicity 1)  6 Re 2.26
Re1 0.0000 0.0000 0.5000 (multiplicity 3)  2 Sc 2.26
Si1 0.5000 0.5000 0.5000 (multiplicity 1)  12 Re 3.20

- Total DFT energy (no corrections): -7.766 eV/atom
- Total magnetization: 2.121 μB/f.u.
- V: 18.52 Å³/atom
- Energy relative to the elements, uncorrected: 260.83 kJ per mole of atoms